No. 1
Here is an optimized crystal structure of CaAlSn3 from Alexandria. Energies are from PBE.

Calculated values
Total energy: -3.46 eV per atom
Total magnetization: 0.00 μB per cell
Formation enthalpy at 0 K: 89 meV per atom

```
CaAlSn3
1.0
5.3502 0.0000 0.0000
0.0000 5.3502 0.0000
0.0000 0.0000 5.3502
Ca Al Sn
1 1 3
Direct
0.0000 0.0000 0.0000
0.5000 0.5000 0.5000
0.0000 0.5000 0.5000
0.5000 0.0000 0.5000
0.5000 0.5000 0.0000
```


No. 2
Here is an optimized crystal structure of HfSc5Hg6 from Alexandria. Energies are from PBE.

Calculated values
Total energy: -3.97 eV per atom
Total magnetization: 1.60 μB per cell
Formation enthalpy at 0 K: -347 meV per atom

```
HfSc5Hg6
1.0
2.4756 -7.4433 0.0000
2.4756 7.4433 0.0000
0.0000 0.0000 7.0700
Hf Sc Hg
1 5 6
Direct
0.0000 0.0000 0.0000
0.0000 0.0000 0.5000
0.3320 0.6680 0.5000
0.3359 0.6641 0.0000
0.6641 0.3359 0.0000
0.6680 0.3320 0.5000
0.1673 0.8327 0.2494
0.1673 0.8327 0.7506
0.5000 0.5000 0.2552
0.5000 0.5000 0.7448
0.8327 0.1673 0.2494
0.8327 0.1673 0.7506
```


No. 3
Here is an optimized crystal structure of KHfTlSn2 from Alexandria. Energies are from PBE.

Calculated values
Total energy: -3.18 eV per atom
Total magnetization: 0.01 μB per cell
Formation enthalpy at 0 K: 1100 meV per atom

```
KHfTlSn2
1.0
5.6492 0.0000 0.0000
0.0000 5.6492 0.0000
0.0000 0.0000 5.7261
K Hf Tl Sn
1 1 1 2
Direct
0.0000 0.0000 0.0000
0.5000 0.5000 0.0000
0.0000 0.0000 0.5000
0.0000 0.5000 0.5000
0.5000 0.0000 0.5000
```


No. 4
Here is an optimized crystal structure of SrTe2Au from Alexandria. Energies are from PBE.

Calculated values
Total energy: -3.47 eV per atom
Total magnetization: 0.00 μB per cell

```
SrTe2Au
1.0
4.3861 0.0000 0.0000
0.0000 4.3861 0.0000
0.0000 0.0000 6.5293
Sr Te Au
1 2 1
Direct
0.0000 0.0000 0.0000
0.0000 0.0000 0.5175
0.5000 0.5000 0.1010
0.5000 0.5000 0.5439
```